[1]
First-principles (GGA-PBE) data for a relaxed structure of Cu3Se, as listed in Alexandria via LeMat-Bulk.

Cell: 3.298 3.295 5.157 Å, 90.00 90.00 90.00°
Positions (direct):
1 Se 0.000 0.000 0.000
2 Cu 0.500 0.500 0.261
3 Cu 0.000 0.000 0.500
4 Cu 0.500 0.500 0.739

Output
The crystal system is tetragonal. The calculation puts the density of states at the Fermi level at 1.0 states/eV/f.u. Its formation energy (no corrections) is 0.117 eV/atom.

=====

[2]
First-principles (GGA-PBE) data for a relaxed structure of CuSe, as listed in Alexandria via LeMat-Bulk.

Cell: 4.709 4.709 4.240 Å, 90.00 90.00 90.00°
Positions (direct):
1 Se 0.750 0.250 0.000
2 Se 0.250 0.750 0.000
3 Cu 0.750 0.750 0.853
4 Cu 0.250 0.250 0.147

Output
The crystal system is tetragonal. The calculation puts the density of states at the Fermi level at 1.2 states/eV/f.u. Its formation energy (no corrections) is 0.070 eV/atom.

=====

[3]
First-principles (GGA-PBE) data for a relaxed structure of CuSe, as listed in Alexandria via LeMat-Bulk.

Cell: 10.216 10.216 3.873 Å, 90.00 90.00 90.00°
Positions (direct):
1 Cu 0.451 0.120 0.000
2 Cu 0.373 0.800 0.500
3 Cu 0.627 0.200 0.500
4 Cu 0.800 0.627 0.500
5 Cu 0.120 0.549 0.000
6 Cu 0.200 0.373 0.500
7 Cu 0.880 0.451 0.000
8 Cu 0.549 0.880 0.000
9 Se 0.075 0.315 0.000
10 Se 0.315 0.925 0.000
11 Se 0.755 0.393 0.500
12 Se 0.245 0.607 0.500
13 Se 0.393 0.245 0.500
14 Se 0.607 0.755 0.500
15 Se 0.685 0.075 0.000
16 Se 0.925 0.685 0.000

Output
The crystal system is tetragonal. The calculation puts the density of states at the Fermi level at 2.1 states/eV/f.u. Its formation energy (no corrections) is -0.054 eV/atom.

=====

[4]
First-principles (GGA-PBE) data for a relaxed structure of CuSe, as listed in Alexandria via LeMat-Bulk.

Cell: 3.801 3.801 5.520 Å, 90.00 90.00 90.00°
Positions (direct):
1 Cu 0.750 0.250 0.000
2 Cu 0.250 0.750 0.000
3 Se 0.250 0.250 0.277
4 Se 0.750 0.750 0.723

Output
The crystal system is tetragonal. The calculation puts the density of states at the Fermi level at 1.4 states/eV/f.u. Its formation energy (no corrections) is -0.090 eV/atom.

=====

[5]
First-principles (GGA-PBE) data for a relaxed structure of CuSe2, as listed in Alexandria via LeMat-Bulk.

Cell: 8.037 8.037 8.037 Å, 159.65 159.65 28.93°
Positions (direct):
1 Se 0.877 0.877 0.000
2 Se 0.123 0.123 0.000
3 Cu 0.500 0.500 0.000

Output
The crystal system is tetragonal. The calculation puts the density of states at the Fermi level at 1.7 states/eV/f.u. Its formation energy (no corrections) is 0.237 eV/atom.

=====

[6]
First-principles (GGA-PBE) data for a relaxed structure of Cu5Se3, as listed in Alexandria via LeMat-Bulk.

Cell: 6.107 6.107 3.829 Å, 90.00 90.00 115.33°
Positions (direct):
1 Cu 0.000 0.500 0.000
2 Cu 0.000 0.000 0.000
3 Cu 0.735 0.735 0.500
4 Cu 0.500 0.000 0.000
5 Cu 0.265 0.265 0.500
6 Se 0.183 0.817 0.500
7 Se 0.500 0.500 0.000
8 Se 0.817 0.183 0.500

Output
The crystal system is orthorhombic. The value obtained for the energy above the most stable polymorph in this dataset is 0.124 eV per atom. The calculation puts the density of states at the Fermi level at 6.6 states/eV/f.u. Its formation energy (no corrections) is 0.083 eV/atom.

=====

[7]
First-principles (GGA-PBE) data for a relaxed structure of CuSe, as listed in Alexandria via LeMat-Bulk.

Cell: 4.556 4.731 4.169 Å, 90.00 123.10 90.00°
Positions (direct):
1 Se 0.255 0.750 0.010
2 Se 0.745 0.250 0.990
3 Cu 0.387 0.250 0.276
4 Cu 0.613 0.750 0.724

Output
The crystal system is monoclinic. The calculation puts the density of states at the Fermi level at 1.0 states/eV/f.u. Its formation energy (no corrections) is -0.093 eV/atom.

=====

[8]
First-principles (GGA-PBE) data for a relaxed structure of Cu3Se, as listed in Alexandria via LeMat-Bulk.

Cell: 4.688 4.688 4.688 Å, 90.00 90.00 90.00°
Positions (direct):
1 Se 0.000 0.000 0.000
2 Cu 0.500 0.000 0.000
3 Cu 0.000 0.000 0.500
4 Cu 0.000 0.500 0.000

Output
The crystal system is cubic. The calculation puts the density of states at the Fermi level at 1.3 states/eV/f.u. Its formation energy (no corrections) is 0.657 eV/atom.

=====

Which value of formation energy (no corrections) does entry 1 give? 0.117 eV/atom

=====

Among the records above, which one has the lowest formation energy (no corrections)? number 7